1.
A plane-wave DFT calculation with PBE was carried out for a relaxed structure of PrYRhBr.

a = 4.0661 Å, b = 4.0661 Å, c = 23.5526 Å
α = 90.00°, β = 90.00°, γ = 120.00°
Space group R3m (No. 160, hexagonal axes)
Inequivalent atoms, fractional coordinates:
Pr: 0.0000 0.0000 0.0000 x3
Y: 0.0000 0.0000 0.7958 x3
Rh: 0.0000 0.0000 0.4004 x3
Br: 0.0000 0.0000 0.2258 x3

As for the density of states at the Fermi level: 1.506 states/eV/cell. The calculation puts the volume at 28.1 A^3/atom. Its formation energy from raw total energies is -1.049 eV per atom. The size of the total moment is 0.00 Bohr magnetons per cell.



2.
A plane-wave DFT calculation with PBE was carried out for a relaxed structure of Mg13Tl2.

a = 8.0148 Å, b = 8.0148 Å, c = 22.8871 Å
α = 90.00°, β = 90.00°, γ = 120.00°
Space group R-3m (No. 166, hexagonal axes)
Inequivalent atoms, fractional coordinates:
Mg: 0.0000 0.0000 0.0000 x3
Mg: 0.0726 0.5363 0.4292 x18
Mg: 0.0807 0.5404 0.2937 x18
Tl: 0.0000 0.0000 0.1327 x6

Its energy of formation from the pure elements is 0.20 eV/atom. As for the density of states at the Fermi level: 24.617 states/eV/cell. The calculation puts the volume at 28.3 A^3/atom. Its energy above the most stable polymorph in this dataset is 0.208 eV/atom. The size of the total moment is 0.00 Bohr magnetons per cell.



3.
A plane-wave DFT calculation with PBE was carried out for a relaxed structure of BaAs3W.

a = 5.510 Å, b = 5.510 Å, c = 5.510 Å
α = 90.00°, β = 90.00°, γ = 90.00°
Space group Pm-3m (No. 221)
Inequivalent atoms, fractional coordinates:
Ba: 0.000 0.000 0.000 x1
As: 0.000 0.000 0.500 x3
W: 0.500 0.500 0.500 x1

Its energy of formation from the pure elements is 2.50 eV/atom. As for the density of states at the Fermi level: 18.676 states/eV/cell. The calculation puts the volume at 33.5 A^3/atom. Its energy above the most stable polymorph in this dataset is 2.749 eV/atom. The size of the total moment is 0.00 Bohr magnetons per cell.



4.
A plane-wave DFT calculation with PBE was carried out for a relaxed structure of Cd2PW.

a = 3.764 Å, b = 3.764 Å, c = 9.959 Å
α = 90.00°, β = 90.00°, γ = 90.00°
Space group I4/mmm (No. 139)
Inequivalent atoms, fractional coordinates:
Cd: 0.000 0.500 0.250 x4
P: 0.000 0.000 0.000 x2
W: 0.000 0.000 0.500 x2

Its energy of formation from the pure elements is 0.62 eV/atom. As for the density of states at the Fermi level: 5.839 states/eV/cell. The calculation puts the volume at 17.6 A^3/atom. Its energy above the most stable polymorph in this dataset is 0.495 eV/atom. The size of the total moment is 0.00 Bohr magnetons per cell.



5.
A plane-wave DFT calculation with PBE was carried out for a relaxed structure of Sm3Tl3TcO8.

a = 6.9769 Å, b = 6.9769 Å, c = 19.6289 Å
α = 90.00°, β = 90.00°, γ = 120.00°
Space group R-3m (No. 166, hexagonal axes)
Inequivalent atoms, fractional coordinates:
Sm: 0.0000 0.5000 0.0000 x9
Tl: 0.0000 0.5000 0.5000 x9
Tc: 0.0000 0.0000 0.0000 x3
O: 0.0000 0.0000 0.2754 x6
O: 0.0333 0.5167 0.7217 x18

As for the density of states at the Fermi level: 0.019 states/eV/cell. The calculation puts the volume at 18.4 A^3/atom. Its formation energy from raw total energies is -2.052 eV per atom. The size of the total moment is 9.00 Bohr magnetons per cell.



6.
A plane-wave DFT calculation with PBE was carried out for a relaxed structure of LiTl2Ni.

a = 7.699 Å, b = 7.699 Å, c = 6.092 Å
α = 90.00°, β = 90.00°, γ = 90.00°
Space group I-42d (No. 122)
Inequivalent atoms, fractional coordinates:
Li: 0.000 0.000 0.000 x4
Tl: 0.204 0.250 0.625 x8
Ni: 0.000 0.000 0.500 x4

Its energy of formation from the pure elements is 0.20 eV/atom. As for the density of states at the Fermi level: 9.815 states/eV/cell. The calculation puts the volume at 22.6 A^3/atom. The size of the total moment is 0.00 Bohr magnetons per cell.



7.
A plane-wave DFT calculation with PBE was carried out for a relaxed structure of IrSBrCl2.

a = 5.086 Å, b = 5.086 Å, c = 4.935 Å
α = 90.00°, β = 90.00°, γ = 90.00°
Space group P4/mmm (No. 123)
Inequivalent atoms, fractional coordinates:
Ir: 0.000 0.000 0.000 x1
S: 0.500 0.500 0.000 x1
Br: 0.500 0.500 0.500 x1
Cl: 0.000 0.500 0.500 x2

As for the density of states at the Fermi level: 4.371 states/eV/cell. The calculation puts the volume at 25.5 A^3/atom. Its formation energy from raw total energies is 1.573 eV per atom. Its energy above the most stable polymorph in this dataset is 1.296 eV/atom. The size of the total moment is 2.68 Bohr magnetons per cell.



8.
A plane-wave DFT calculation with PBE was carried out for a relaxed structure of Sr2Mg2PaAs4.

a = 15.517 Å, b = 4.286 Å, c = 7.550 Å
α = 90.00°, β = 110.04°, γ = 90.00°
Space group C2/m (No. 12)
Inequivalent atoms, fractional coordinates:
Sr: 0.131 0.000 0.061 x4
Mg: 0.176 0.500 0.493 x4
Pa: 0.000 0.000 0.500 x2
As: 0.010 0.500 0.245 x4
As: 0.206 0.000 0.710 x4

Its energy of formation from the pure elements is -0.95 eV/atom. As for the density of states at the Fermi level: 8.248 states/eV/cell. The calculation puts the volume at 26.2 A^3/atom. The size of the total moment is 1.96 Bohr magnetons per cell.